13
Lattice="-2.425 -4.558 2.290 -0.045 -5.927 -4.878 5.127 -4.391 3.653" Properties=species:S:1:pos:R:3 comment="SrCd8Ag4 (GGA-PBE, optimized geometry)" space_group="No. 139" pbc="T T T"
Sr 0.000 0.000 0.000
Cd 3.317 -4.929 0.668
Cd 1.765 -5.389 -1.892
Cd 2.455 -8.302 0.006
Cd 0.203 -6.574 1.060
Cd -0.133 -7.872 -1.877
Cd 2.790 -7.004 2.944
Cd 0.420 -3.531 0.381
Cd 2.238 -11.344 0.685
Ag 2.564 -2.196 1.827
Ag 1.351 -4.474 2.972
Ag -0.022 -2.963 -2.439
Ag -1.235 -5.242 -1.294

***

13
Lattice="-5.116 2.163 1.522 -1.315 -0.768 7.569 0.517 7.521 1.949" Properties=species:S:1:pos:R:3 comment="SrCd10Ag2 (GGA-PBE, optimized geometry)" space_group="No. 69" pbc="T T T"
Sr 0.000 0.000 0.000
Cd -2.299 5.212 6.661
Cd -3.616 3.703 4.378
Cd -5.206 6.812 5.513
Cd -0.709 2.104 5.526
Cd 0.258 3.761 0.974
Cd -2.300 4.842 1.735
Cd -1.639 2.029 2.505
Cd -4.276 6.886 8.534
Cd -3.500 2.073 7.085
Cd -2.415 6.843 3.955
Ag -0.658 -0.384 3.784
Ag -3.216 0.697 4.545

***

6
Lattice="-4.948 -0.025 0.157 -2.413 -5.706 1.120 -2.298 0.565 5.730" Properties=species:S:1:pos:R:3 comment="Sr2CdAg3 (GGA-PBE, optimized geometry)" de_polymorph_mev_per_atom=0.0 space_group="No. 8" pbc="T T T"
Sr -4.812 -0.766 4.357
Sr -4.847 -4.387 2.660
Cd -2.401 -2.099 2.050
Ag -7.258 -3.077 4.946
Ag -4.916 -1.180 1.001
Ag -4.743 -3.988 6.004

***

no.,formation enthalpy at 0 K (eV/atom)
1,-0.143
2,-0.128
3,-0.306